# 1
# NaCd3Sb (PBE, optimized geometry)
data_NaCd3Sb
_chemical_formula_sum 'Na1 Cd3 Sb1'
_space_group_name_H-M_alt 'P m -3 m'
_space_group_IT_number 221
_space_group_name_Hall '-P 4 2 3'
_cell_length_a 5.332
_cell_length_b 5.332
_cell_length_c 5.332
_cell_angle_alpha 90.00
_cell_angle_beta 90.00
_cell_angle_gamma 90.00
loop_
_atom_site_label
_atom_site_type_symbol
_atom_site_fract_x
_atom_site_fract_y
_atom_site_fract_z
_atom_site_occupancy
Na1 Na 0.000 0.000 0.000 1
Cd1 Cd 0.000 0.000 0.500 1
Sb1 Sb 0.500 0.500 0.500 1
# - Crystal system: cubic
# - Size of the total moment: 0.0 μB per cell
# - Uncorrected energy: -1.06 eV/atom
# - Offset from the most stable computed form: 31.9 kJ/mol of atoms
# - Formation energy without anion corrections: 2.88 eV/f.u.

# 2
# Na2CdSb2 (PBE, optimized geometry)
data_Na2CdSb2
_chemical_formula_sum 'Na4 Cd2 Sb4'
_space_group_name_H-M_alt 'P 4/m b m'
_space_group_IT_number 127
_space_group_name_Hall '-P 4 2ab'
_cell_length_a 9.509
_cell_length_b 9.509
_cell_length_c 3.089
_cell_angle_alpha 90.00
_cell_angle_beta 90.00
_cell_angle_gamma 90.00
loop_
_atom_site_label
_atom_site_type_symbol
_atom_site_fract_x
_atom_site_fract_y
_atom_site_fract_z
_atom_site_occupancy
Na1 Na 0.122 0.378 0.000 1
Cd1 Cd 0.000 0.000 0.000 1
Sb1 Sb 0.176 0.676 0.500 1
# - Crystal system: tetragonal
# - Size of the total moment: 0.0 μB per cell
# - Uncorrected energy: -2.45 eV/atom
# - Offset from the most stable computed form: 19.8 kJ/mol of atoms
# - Formation energy without anion corrections: -0.45 eV/f.u.